1.
## Li5Sn2Sb (PBE-GGA)

Data for an optimized crystal structure of Li5Sn2Sb.

Unit cell a=4.285 b=4.285 c=9.057 alpha=103.68 beta=103.68 gamma=90.00
Positions (direct):
Li: 0.500 0.500 0.000
Li: 0.883 0.383 0.765
Li: 0.383 0.883 0.765
Li: 0.117 0.617 0.235
Li: 0.617 0.117 0.235
Sn: 0.736 0.736 0.473
Sn: 0.264 0.264 0.527
Sb: 0.000 0.000 0.000

Formation energy (no corrections) = -0.44 eV per atom
Fermi-level density of states = 1.497 states/eV/cell
Calculated density = 4.2 g/cm3
Space group = I4/mmm (139)

2.
## LiIn4Pd2 (PBE-GGA)

Data for an optimized crystal structure of LiIn4Pd2.

Unit cell a=4.628 b=4.628 c=6.504 alpha=90.00 beta=90.00 gamma=90.00
Positions (direct):
Li: 0.500 0.500 0.000
In: 0.500 0.000 0.260
In: 0.000 0.500 0.740
In: 0.500 0.000 0.740
In: 0.000 0.500 0.260
Pd: 0.000 0.000 0.000
Pd: 0.500 0.500 0.500

Fermi-level density of states = 2.070 states/eV/cell
Calculated density = 8.1 g/cm3
Space group = P4/mmm (123)
Distance to the lowest polymorph of the same formula = 0 meV/atom

3.
## PuCrRu2 (PBE-GGA)

Data for an optimized crystal structure of PuCrRu2.

Unit cell a=2.951 b=2.951 c=7.276 alpha=90.00 beta=90.00 gamma=90.00
Positions (direct):
Ru: 0.000 0.000 0.799
Ru: 0.000 0.000 0.201
Cr: 0.500 0.500 0.000
Pu: 0.500 0.500 0.500

Fermi-level density of states = 7.600 states/eV/cell
Calculated density = 13.1 g/cm3
Space group = P4/mmm (123)

4.
## CaMo2Cl (PBE-GGA)

Data for an optimized crystal structure of CaMo2Cl.

Unit cell a=3.277 b=3.277 c=8.795 alpha=90.00 beta=90.00 gamma=90.00
Positions (direct):
Mo: 0.000 0.000 0.096
Mo: 0.500 0.500 0.226
Ca: 0.000 0.000 0.500
Cl: 0.500 0.500 0.678

Formation energy (no corrections) = -0.10 eV per atom
Fermi-level density of states = 4.340 states/eV/cell
Calculated density = 4.7 g/cm3
Space group = P4mm (99)
Distance to the lowest polymorph of the same formula = 42 meV/atom

5.
## Ho12ZnRu6 (PBE-GGA)

Data for an optimized crystal structure of Ho12ZnRu6.

Unit cell a=8.120 b=8.120 c=8.120 alpha=100.98 beta=100.98 gamma=100.98
Positions (direct):
Ho: 0.823 0.583 0.441
Ho: 0.441 0.823 0.583
Ho: 0.583 0.441 0.823
Ho: 0.177 0.417 0.559
Ho: 0.559 0.177 0.417
Ho: 0.417 0.559 0.177
Ho: 0.077 0.933 0.332
Ho: 0.067 0.668 0.923
Ho: 0.668 0.923 0.067
Ho: 0.923 0.067 0.668
Ho: 0.933 0.332 0.077
Ho: 0.332 0.077 0.933
Zn: 0.000 0.000 0.000
Ru: 0.697 0.862 0.386
Ru: 0.614 0.303 0.138
Ru: 0.138 0.614 0.303
Ru: 0.303 0.138 0.614
Ru: 0.386 0.697 0.862
Ru: 0.862 0.386 0.697

Fermi-level density of states = 10.152 states/eV/cell
Calculated density = 8.8 g/cm3
Space group = R-3 (148)

6.
## TaBeCo2 (PBE-GGA)

Data for an optimized crystal structure of TaBeCo2.

Unit cell a=3.943 b=2.682 c=4.615 alpha=78.13 beta=90.00 gamma=90.00
Positions (direct):
Be: 0.500 0.892 0.779
Co: 0.000 0.875 0.990
Co: 0.500 0.242 0.221
Ta: 0.000 0.491 0.510

Fermi-level density of states = 3.696 states/eV/cell
Calculated density = 10.7 g/cm3
Space group = Pm (6)

7.
## LaGaSn2 (PBE-GGA)

Data for an optimized crystal structure of LaGaSn2.

Unit cell a=8.338 b=8.338 c=6.752 alpha=51.87 beta=51.87 gamma=90.00
Positions (direct):
Sn: 0.575 0.125 0.250
Sn: 0.175 0.625 0.250
Sn: 0.375 0.425 0.750
Sn: 0.875 0.825 0.750
Ga: 0.500 0.500 0.000
Ga: 0.250 0.750 0.500
La: 0.000 0.000 0.000
La: 0.750 0.250 0.500

Fermi-level density of states = 0.705 states/eV/cell
Calculated density = 6.5 g/cm3
Space group = I-42d (122)

8.
## MnFeBP2 (PBE-GGA)

Data for an optimized crystal structure of MnFeBP2.

Unit cell a=4.167 b=2.896 c=4.779 alpha=90.00 beta=110.76 gamma=90.00
Positions (direct):
P: 0.002 0.500 0.489
P: 0.767 0.000 0.981
B: 0.172 0.500 0.165
Mn: 0.231 0.000 0.866
Fe: 0.578 0.000 0.443

Fermi-level density of states = 0.892 states/eV/cell
Calculated density = 5.7 g/cm3
Space group = Pm (6)
Distance to the lowest polymorph of the same formula = 145 meV/atom

9.
## BaTc2Rh (PBE-GGA)

Data for an optimized crystal structure of BaTc2Rh.

Unit cell a=5.673 b=5.673 c=2.881 alpha=90.00 beta=90.00 gamma=123.16
Positions (direct):
Ba: 0.500 0.000 0.500
Rh: 0.000 0.500 0.500
Tc: 0.000 0.000 0.000
Tc: 0.500 0.500 0.000

Fermi-level density of states = 7.391 states/eV/cell
Calculated density = 9.3 g/cm3
Space group = Cmmm (65)
Distance to the lowest polymorph of the same formula = 800 meV/atom

10.
## CaPmY (PBE-GGA)

Data for an optimized crystal structure of CaPmY.

Unit cell a=3.669 b=3.669 c=9.159 alpha=90.00 beta=90.00 gamma=120.00
Positions (direct):
Y: 0.333 0.667 0.655
Ca: 0.000 0.000 0.997
Pm: 0.667 0.333 0.348

Fermi-level density of states = 4.249 states/eV/cell
Calculated density = 4.3 g/cm3
Space group = P3m1 (156)
Distance to the lowest polymorph of the same formula = 12 meV/atom

11.
## Tb2Pm2Er2Mg (PBE-GGA)

Data for an optimized crystal structure of Tb2Pm2Er2Mg.

Unit cell a=3.640 b=6.300 c=11.553 alpha=116.76 beta=90.00 gamma=106.79
Positions (direct):
Tb: 0.749 0.497 0.631
Tb: 0.251 0.503 0.369
Pm: 0.531 0.061 0.747
Pm: 0.469 0.939 0.253
Er: 0.679 0.358 0.085
Er: 0.321 0.642 0.915
Mg: 0.000 0.000 0.500

Fermi-level density of states = 8.014 states/eV/cell
Calculated density = 7.2 g/cm3
Space group = C2/m (12)

12.
## LiTm4Au5 (PBE-GGA)

Data for an optimized crystal structure of LiTm4Au5.

Unit cell a=3.513 b=3.513 c=17.131 alpha=90.00 beta=90.00 gamma=90.00
Positions (direct):
Li: 0.000 0.000 0.000
Tm: 0.000 0.000 0.183
Tm: 0.000 0.000 0.395
Tm: 0.000 0.000 0.605
Tm: 0.000 0.000 0.817
Au: 0.500 0.500 0.085
Au: 0.500 0.500 0.291
Au: 0.500 0.500 0.500
Au: 0.500 0.500 0.709
Au: 0.500 0.500 0.915

Fermi-level density of states = 3.738 states/eV/cell
Calculated density = 13.1 g/cm3
Space group = P4/mmm (123)

Taking the records one at a time from the top gives calculated total energy values of -3.15 -3.76 -10.56 -6.48 -6.05 -7.48 -4.39 -7.15 -6.32 -4.35 -4.12 -4.44 eV per atom.